A plane-wave DFT calculation with GGA+U was carried out for an optimized crystal structure of MoBrOF2.

Excess energy over the best structure of this formula in the dataset = 1374 meV/atom
Space group = P4/mmm (123)
Total moment = 4.591 μB/f.u.

Cell lengths 4.596, 4.596, 4.050 Å; angles 90.00, 90.00, 90.00 degrees
Sites, in units of the cell vectors:
Mo 0.000 0.000 0.000
Br 0.500 0.500 0.500
O 0.500 0.500 0.000
F 0.000 0.500 0.500
F 0.500 0.000 0.500